No. 1
Computed, not measured: a geometry-optimized Cs3CuS2 structure at the PBE level of DFT.

Space-group type   No. 72
E_tot   -0.243 Ry per atom
Uncorrected formation energy   -0.822 eV per atom

a = 7.8670 Å, b = 9.5475 Å, c = 9.2613 Å
α = 121.03°, β = 115.13°, γ = 90.00°
Positions (direct):
S (0.8731, 0.0943, 0.1886)
S (0.1269, 0.9057, 0.8114)
S (0.3155, 0.5943, 0.1886)
S (0.6845, 0.4057, 0.8114)
Cs (0.7942, 0.0442, 0.5884)
Cs (0.7942, 0.5442, 0.5884)
Cs (0.5000, 0.2500, 0.0000)
Cs (0.5000, 0.7500, 0.0000)
Cs (0.2058, 0.9558, 0.4116)
Cs (0.2058, 0.4558, 0.4116)
Cu (0.0000, 0.0000, 0.0000)
Cu (0.0000, 0.5000, 0.0000)



No. 2
Computed, not measured: a geometry-optimized CsCuS structure at the PBE level of DFT.

Space-group type   No. 42
E_tot   -0.256 Ry per atom
Uncorrected formation energy   -0.451 eV per atom

a = 4.1564 Å, b = 6.0003 Å, c = 6.6320 Å
α = 83.77°, β = 71.74°, γ = 69.74°
Positions (direct):
Cs (0.6717, 0.0000, 0.6566)
S (0.3932, 0.0000, 0.2135)
Cu (0.9350, 0.0000, 0.1299)



No. 3
Computed, not measured: a geometry-optimized Cs2CuS2 structure at the PBE level of DFT.

Space-group type   No. 62
E_tot   -0.261 Ry per atom
Uncorrected formation energy   -0.735 eV per atom

a = 6.2273 Å, b = 7.6950 Å, c = 15.9375 Å
α = 90.00°, β = 90.00°, γ = 90.00°
Positions (direct):
S (0.2500, 0.0430, 0.2601)
S (0.7500, 0.7251, 0.9534)
S (0.7500, 0.4570, 0.7601)
S (0.7500, 0.2251, 0.5466)
S (0.2500, 0.2749, 0.0466)
S (0.2500, 0.5430, 0.2399)
S (0.2500, 0.7749, 0.4534)
S (0.7500, 0.9570, 0.7399)
Cu (0.7500, 0.2200, 0.6839)
Cu (0.2500, 0.7800, 0.3161)
Cu (0.2500, 0.2800, 0.1839)
Cu (0.7500, 0.7200, 0.8161)
Cs (0.2500, 0.3324, 0.4301)
Cs (0.7500, 0.1676, 0.9301)
Cs (0.2500, 0.8324, 0.0699)
Cs (0.2500, 0.5206, 0.8659)
Cs (0.7500, 0.4794, 0.1341)
Cs (0.7500, 0.6676, 0.5699)
Cs (0.2500, 0.0206, 0.6341)
Cs (0.7500, 0.9794, 0.3659)



No. 4
Computed, not measured: a geometry-optimized CsCu2S2 structure at the PBE level of DFT.

Space-group type   No. 70
E_tot   -0.291 Ry per atom
Uncorrected formation energy   -0.504 eV per atom

a = 6.5920 Å, b = 6.5920 Å, c = 6.5721 Å
α = 106.39°, β = 106.39°, γ = 115.98°
Positions (direct):
Cu (0.4946, 0.7443, 0.9885)
Cu (0.2443, 0.9946, 0.4885)
Cu (0.5054, 0.2557, 0.0115)
Cu (0.7557, 0.0054, 0.5115)
Cs (0.8751, 0.6249, 0.7500)
Cs (0.1249, 0.3751, 0.2500)
S (0.4578, 0.0422, 0.2500)
S (0.7923, 0.7077, 0.2500)
S (0.5422, 0.9578, 0.7500)
S (0.2077, 0.2923, 0.7500)



No. 5
Computed, not measured: a geometry-optimized CsCuS structure at the PBE level of DFT.

Space-group type   No. 107
E_tot   -0.237 Ry per atom
Uncorrected formation energy   -0.197 eV per atom

a = 3.5567 Å, b = 3.5567 Å, c = 6.5722 Å
α = 105.70°, β = 105.70°, γ = 90.00°
Positions (direct):
S (0.7359, 0.7359, 0.4718)
Cs (0.0050, 0.0050, 0.0099)
Cu (0.2591, 0.2591, 0.5183)



No. 6
Computed, not measured: a geometry-optimized CsCu3S structure at the PBE level of DFT.

Space-group type   No. 221
Energy above the most stable polymorph in this dataset   1.456 eV per atom
E_tot   -0.116 Ry per atom
Uncorrected formation energy   1.878 eV per atom

a = 5.2534 Å, b = 5.2534 Å, c = 5.2534 Å
α = 90.00°, β = 90.00°, γ = 90.00°
Positions (direct):
Cu (0.5000, 0.0000, 0.0000)
Cu (0.0000, 0.0000, 0.5000)
Cu (0.0000, 0.5000, 0.0000)
S (0.5000, 0.5000, 0.5000)
Cs (0.0000, 0.0000, 0.0000)



No. 7
Computed, not measured: a geometry-optimized CsCuSbS3 structure at the PBE level of DFT.

Space-group type   No. 11
E_tot   -0.300 Ry per atom
Uncorrected formation energy   -0.512 eV per atom

a = 3.9528 Å, b = 9.5144 Å, c = 9.6412 Å
α = 112.85°, β = 90.00°, γ = 90.00°
Positions (direct):
Cs (0.2500, 0.2091, 0.2484)
Cs (0.7500, 0.7909, 0.7516)
S (0.7500, 0.1890, 0.5444)
S (0.2500, 0.8110, 0.4556)
S (0.7500, 0.8642, 0.1518)
S (0.2500, 0.5308, 0.8483)
S (0.7500, 0.4692, 0.1517)
S (0.2500, 0.1358, 0.8482)
Cu (0.2500, 0.0731, 0.5851)
Cu (0.7500, 0.9269, 0.4149)
Sb (0.7500, 0.3313, 0.8545)
Sb (0.2500, 0.6687, 0.1455)



No. 8
Computed, not measured: a geometry-optimized CsCu2Sb2S6 structure at the PBE level of DFT.

Space-group type   No. 12
E_tot   -0.302 Ry per atom
Uncorrected formation energy   -0.288 eV per atom

a = 6.8918 Å, b = 7.4502 Å, c = 9.7875 Å
α = 122.05°, β = 90.03°, γ = 62.40°
Positions (direct):
S (0.5696, 0.3784, 0.1275)
S (0.9763, 0.0470, 0.3259)
S (0.9489, 0.6202, 0.8718)
S (0.0237, 0.9530, 0.6741)
S (0.4304, 0.6216, 0.8725)
S (0.0511, 0.3798, 0.1282)
Sb (0.8105, 0.3788, 0.9342)
Sb (0.1895, 0.6212, 0.0658)
Cs (0.5000, 0.0000, 0.5000)
Cu (0.8814, 0.2379, 0.2060)
Cu (0.1186, 0.7621, 0.7940)



No. 9
Computed, not measured: a geometry-optimized Cs2Cu2SbS4 structure at the PBE level of DFT.

Space-group type   No. 12
E_tot   -0.292 Ry per atom
Uncorrected formation energy   -0.583 eV per atom

a = 3.9803 Å, b = 7.7557 Å, c = 8.1123 Å
α = 108.46°, β = 90.00°, γ = 104.87°
Positions (direct):
Cs (0.8640, 0.7280, 0.4486)
Cs (0.1360, 0.2720, 0.5514)
Sb (0.0000, 0.0000, 0.0000)
S (0.8055, 0.6110, 0.8481)
S (0.5305, 0.0609, 0.7909)
S (0.4695, 0.9391, 0.2091)
S (0.1945, 0.3890, 0.1519)
Cu (0.6898, 0.3795, 0.9890)
Cu (0.3102, 0.6205, 0.0110)



No. 10
Computed, not measured: a geometry-optimized CsScCuS2 structure at the PBE level of DFT.

Space-group type   No. 13
E_tot   -0.367 Ry per atom
Uncorrected formation energy   -1.085 eV per atom

a = 5.5025 Å, b = 8.1155 Å, c = 6.5254 Å
α = 113.08°, β = 90.00°, γ = 90.00°
Each line ends with the local moment (μB).
Positions (direct):
Cu (0.0000, 0.0000, 0.5000)  0.01
Cu (0.0000, 0.0000, 0.0000)  0.01
Cs (0.7729, 0.5000, 0.2500)  0.01
Cs (0.2271, 0.5000, 0.7500)  0.01
S (0.2825, 0.2045, 0.0990)  -0.01
S (0.7175, 0.7955, 0.9010)  -0.01
S (0.7175, 0.2045, 0.5990)  -0.01
S (0.2825, 0.7955, 0.4010)  -0.01
Sc (0.5010, 0.0000, 0.7500)  0.27
Sc (0.4990, 0.0000, 0.2500)  0.27



No. 11
Computed, not measured: a geometry-optimized Cs2ScCu2S4 structure at the PBE level of DFT.

Space-group type   No. 12
E_tot   -0.345 Ry per atom
Uncorrected formation energy   -1.059 eV per atom

a = 3.8667 Å, b = 8.0636 Å, c = 7.4646 Å
α = 106.16°, β = 105.01°, γ = 90.00°
Positions (direct):
Cu (0.6793, 0.9839, 0.3585)
Cu (0.3207, 0.0161, 0.6415)
S (0.8077, 0.8506, 0.6153)
S (0.4787, 0.2063, 0.9574)
S (0.1923, 0.1494, 0.3847)
S (0.5213, 0.7937, 0.0426)
Cs (0.1357, 0.5571, 0.2715)
Cs (0.8643, 0.4429, 0.7285)
Sc (0.0000, 0.0000, 0.0000)



No. 12
Computed, not measured: a geometry-optimized CsCu2Se6S2 structure at the PBE level of DFT.

Space-group type   No. 12
E_tot   -0.267 Ry per atom
Uncorrected formation energy   -0.154 eV per atom

a = 7.3647 Å, b = 9.0976 Å, c = 7.9813 Å
α = 129.43°, β = 107.41°, γ = 49.23°
Positions (direct):
Se (0.3570, 0.6396, 0.9150)
Se (0.1243, 0.3756, 0.0581)
Se (0.8757, 0.6244, 0.9419)
Se (0.8604, 0.1429, 0.4184)
Se (0.1396, 0.8571, 0.5816)
Se (0.6430, 0.3604, 0.0850)
S (0.8552, 0.3557, 0.3558)
S (0.1448, 0.6443, 0.6442)
Cu (0.1813, 0.6809, 0.1812)
Cu (0.8187, 0.3191, 0.8188)
Cs (0.5000, 0.0000, 0.5000)



No. 13
Computed, not measured: a geometry-optimized Cs2CuSe6S2 structure at the PBE level of DFT.

Space-group type   No. 12
E_tot   -0.255 Ry per atom
Uncorrected formation energy   -0.291 eV per atom

a = 7.1845 Å, b = 7.7196 Å, c = 7.7147 Å
α = 81.52°, β = 90.00°, γ = 117.73°
Positions (direct):
Cu (0.5000, 0.0000, 0.5000)
Se (0.6801, 0.9916, 0.2500)
Se (0.2177, 0.4354, 0.2977)
Se (0.3199, 0.0084, 0.7500)
Se (0.6885, 0.0084, 0.7500)
Se (0.7823, 0.5646, 0.7023)
Se (0.3115, 0.9916, 0.2500)
Cs (0.2327, 0.4655, 0.7908)
Cs (0.7673, 0.5345, 0.2092)
S (0.9297, 0.8594, 0.7728)
S (0.0703, 0.1406, 0.2272)



No. 14
Computed, not measured: a geometry-optimized CsCu2SiS4 structure at the PBE level of DFT.

Space-group type   No. 121
E_tot   -0.319 Ry per atom
Uncorrected formation energy   -0.469 eV per atom

a = 6.3108 Å, b = 6.3108 Å, c = 6.3108 Å
α = 119.83°, β = 119.83°, γ = 90.29°
Positions (direct):
S (0.9678, 0.3392, 0.0000)
S (0.3392, 0.9678, 0.0000)
S (0.6608, 0.6608, 0.6286)
S (0.0322, 0.0322, 0.3714)
Si (0.0000, 0.0000, 0.0000)
Cs (0.5000, 0.5000, 0.0000)
Cu (0.7500, 0.2500, 0.5000)
Cu (0.2500, 0.7500, 0.5000)



No. 15
Computed, not measured: a geometry-optimized Cs2CuSiS4 structure at the PBE level of DFT.

Space-group type   No. 70
E_tot   -0.319 Ry per atom
Uncorrected formation energy   -0.873 eV per atom

a = 5.8732 Å, b = 7.5719 Å, c = 12.5452 Å
α = 84.79°, β = 76.46°, γ = 67.18°
Each line ends with the local moment (μB).
Positions (direct):
S (0.5917, 0.1741, 0.0948)  0.10
S (0.4365, 0.6741, 0.4052)  0.10
S (0.5157, 0.3259, 0.5948)  0.10
S (0.8895, 0.6741, 0.5948)  0.10
S (0.8605, 0.8259, 0.9052)  0.10
S (0.1583, 0.3259, 0.4052)  0.10
S (0.2343, 0.1741, 0.9052)  0.10
S (0.3135, 0.8259, 0.0948)  0.10
Si (0.5000, 0.0000, 0.0000)  0.00
Si (0.2500, 0.5000, 0.5000)  0.00
Cu (0.7500, 0.5000, 0.5000)  0.33
Cu (0.0000, 0.0000, 0.0000)  0.33
Cs (0.5735, 0.5000, 0.8531)  0.00
Cs (0.8235, 0.0000, 0.3531)  0.00
Cs (0.1765, 0.0000, 0.6469)  0.00
Cs (0.9265, 0.5000, 0.1469)  0.00



No. 16
Computed, not measured: a geometry-optimized CsCuSnS2 structure at the PBE level of DFT.

Space-group type   No. 67
E_tot   -0.292 Ry per atom
Uncorrected formation energy   -0.532 eV per atom

a = 5.5696 Å, b = 7.4568 Å, c = 8.5861 Å
α = 115.74°, β = 90.00°, γ = 90.00°
Positions (direct):
Cu (0.0000, 0.5000, 0.0000)
Cu (0.0000, 0.0000, 0.0000)
Sn (0.5000, 0.7500, 0.0000)
Sn (0.5000, 0.2500, 0.0000)
Cs (0.7528, 0.2500, 0.5000)
Cs (0.2472, 0.7500, 0.5000)
S (0.7551, 0.6078, 0.2156)
S (0.2449, 0.1078, 0.2156)
S (0.2449, 0.3922, 0.7844)
S (0.7551, 0.8922, 0.7844)



No. 17
Computed, not measured: a geometry-optimized Cs2CuSnS4 structure at the PBE level of DFT.

Space-group type   No. 82
E_tot   -0.293 Ry per atom
Uncorrected formation energy   -0.702 eV per atom

a = 7.5414 Å, b = 7.5414 Å, c = 6.8136 Å
α = 123.61°, β = 123.61°, γ = 90.00°
Each line ends with the local moment (μB).
Positions (direct):
Sn (0.9859, 0.4859, 0.9719)  0.01
S (0.9714, 0.0910, 0.6821)  0.07
S (0.3808, 0.7611, 0.2614)  0.07
S (0.7107, 0.5911, 0.6822)  0.07
S (0.8807, 0.5004, 0.2615)  0.07
Cu (0.7358, 0.7357, 0.4716)  0.23
Cs (0.4859, 0.9859, 0.9718)  0.00
Cs (0.2358, 0.2358, 0.4717)  0.00



No. 18
Computed, not measured: a geometry-optimized CsSrCuS2 structure at the PBE level of DFT.

Space-group type   No. 67
Energy above the most stable polymorph in this dataset   0.000 eV per atom
E_tot   -0.307 Ry per atom
Uncorrected formation energy   -1.195 eV per atom

a = 5.3863 Å, b = 8.1940 Å, c = 8.9176 Å
α = 117.35°, β = 90.00°, γ = 90.00°
Positions (direct):
Cs (0.7648, 0.2500, 0.5000)
Cs (0.2352, 0.7500, 0.5000)
Cu (0.0000, 0.0000, 0.0000)
Cu (0.0000, 0.5000, 0.0000)
S (0.2558, 0.1039, 0.2077)
S (0.2558, 0.3961, 0.7923)
S (0.7442, 0.6039, 0.2077)
S (0.7442, 0.8961, 0.7923)
Sr (0.5000, 0.2500, 0.0000)
Sr (0.5000, 0.7500, 0.0000)



No. 19
Computed, not measured: a geometry-optimized CsSrCuS2 structure at the PBE level of DFT.

Space-group type   No. 123
Energy above the most stable polymorph in this dataset   1.316 eV per atom
E_tot   -0.210 Ry per atom
Uncorrected formation energy   0.121 eV per atom

a = 5.6011 Å, b = 7.3526 Å, c = 5.6011 Å
α = 90.00°, β = 90.00°, γ = 90.00°
Each line ends with the local moment (μB).
Positions (direct):
S (0.0000, 0.0000, 0.5000)  0.41
S (0.5000, 0.0000, 0.0000)  0.40
Cs (0.0000, 0.5000, 0.0000)  0.01
Cu (0.5000, 0.5000, 0.5000)  0.17
Sr (0.0000, 0.0000, 0.0000)  -0.01



No. 20
Computed, not measured: a geometry-optimized CsTaCu2S4 structure at the PBE level of DFT.

Space-group type   No. 121
E_tot   -0.389 Ry per atom
Uncorrected formation energy   -0.621 eV per atom

a = 6.4399 Å, b = 6.4399 Å, c = 6.4937 Å
α = 119.71°, β = 119.71°, γ = 90.03°
Positions (direct):
S (0.1457, 0.1457, 0.6768)
S (0.4691, 0.8544, 0.3235)
S (0.5311, 0.5311, 0.6768)
S (0.8544, 0.4691, 0.3235)
Cs (0.0002, 0.0002, 0.0005)
Cu (0.2499, 0.7499, 0.4997)
Cu (0.7499, 0.2499, 0.4997)
Ta (0.5001, 0.5001, 0.0001)



No. 21
Computed, not measured: a geometry-optimized Cs2TaCuS4 structure at the PBE level of DFT.

Space-group type   No. 70
E_tot   -0.397 Ry per atom
Uncorrected formation energy   -1.135 eV per atom

a = 5.6310 Å, b = 7.7923 Å, c = 12.8949 Å
α = 85.48°, β = 77.39°, γ = 68.82°
Positions (direct):
Cs (0.8246, 0.0000, 0.3508)
Cs (0.5746, 0.5000, 0.8508)
Cs (0.1754, 0.0000, 0.6492)
Cs (0.9254, 0.5000, 0.1492)
Cu (0.7500, 0.5000, 0.5000)
Cu (0.0000, 0.0000, 0.0000)
S (0.8643, 0.6831, 0.6021)
S (0.1495, 0.3169, 0.3979)
S (0.8857, 0.8169, 0.8979)
S (0.6005, 0.1831, 0.1021)
S (0.2974, 0.8169, 0.1021)
S (0.4526, 0.6831, 0.3979)
S (0.2164, 0.1831, 0.8979)
S (0.5336, 0.3169, 0.6021)
Ta (0.5000, 0.0000, 0.0000)
Ta (0.2500, 0.5000, 0.5000)



No. 22
Computed, not measured: a geometry-optimized Cs2TbCu2S4 structure at the PBE level of DFT.

Space-group type   No. 12
E_tot   -0.336 Ry per atom
Uncorrected formation energy   -1.119 eV per atom

a = 3.9990 Å, b = 8.1114 Å, c = 7.7143 Å
α = 107.07°, β = 105.02°, γ = 90.00°
Positions (direct):
Cu (0.3230, 0.0169, 0.6460)
Cu (0.6770, 0.9831, 0.3540)
Cs (0.1364, 0.5581, 0.2728)
Cs (0.8636, 0.4419, 0.7272)
S (0.8024, 0.8573, 0.6048)
S (0.5235, 0.7826, 0.0469)
S (0.1976, 0.1427, 0.3952)
S (0.4765, 0.2174, 0.9531)
Tb (0.0000, 0.0000, 0.0000)